DFT (PBE) results for CrSbOs2 after structural relaxation.

Computed properties:
As for the uncorrected formation energy: 0.571 eV/atom. The symmetry is Imm2.

Cell lengths 5.231, 5.231, 5.231 Å; angles 145.54, 129.64, 62.45 degrees
Element x y z (fractional)
Cr (0.000, 0.000, 0.000)
Sb (0.762, 0.262, 0.500)
Os (0.245, 0.745, 0.500)
Os (0.520, 0.520, 0.000)